The following is a PBE calculation of KYNO2 after structural relaxation, from Alexandria.

a b c (Å): 4.3345 4.3345 4.1448
angles (deg): 90.00 90.00 90.00
With the nearest neighbours (Å) after each atom.
Atoms (fractional coordinates):
Y (0.5000, 0.5000, 0.5000)  8 O 3.00, 4 N 3.06
O (0.5000, 0.0000, 0.0000)  2 K 2.17
O (0.0000, 0.5000, 0.0000)  2 K 2.17
K (0.0000, 0.0000, 0.0000)  2 N 2.07, 4 O 2.17
N (0.0000, 0.0000, 0.5000)  2 K 2.07

formation energy without anion corrections	0.360	eV/atom


The following is a PBE calculation of Na2Sn5Pt3 after structural relaxation, from Alexandria.

a b c (Å): 4.4840 7.4054 13.5205
angles (deg): 90.00 99.55 90.00
With the nearest neighbours (Å) after each atom.
Atoms (fractional coordinates):
Pt (0.9492, 0.4728, 0.8985)  5 Sn 2.66-2.81
Pt (0.0508, 0.9728, 0.1015)  5 Sn 2.66-2.81
Pt (0.3948, 0.0116, 0.7895)  6 Sn 2.72-2.91, 1 Na 2.90
Pt (0.6052, 0.5116, 0.2105)  6 Sn 2.72-2.91, 1 Na 2.90
Pt (0.2224, 0.2193, 0.4449)  7 Sn 2.78-2.85
Pt (0.7776, 0.7193, 0.5551)  7 Sn 2.78-2.85
Na (0.1727, 0.7148, 0.3454)  7 Sn 3.17-3.48, 2 Pt 3.24
Na (0.4781, 0.7607, 0.9562)  3 Pt 2.90-3.19, 2 Sn 3.13
Na (0.5219, 0.2607, 0.0438)  3 Pt 2.90-3.19, 2 Sn 3.13
Na (0.8273, 0.2148, 0.6546)  7 Sn 3.17-3.48, 2 Pt 3.24
Sn (0.4016, 0.3827, 0.8033)  3 Pt 2.66-2.75
Sn (0.5984, 0.8827, 0.1967)  3 Pt 2.66-2.75
Sn (0.2928, 0.5046, 0.5857)  3 Pt 2.78-2.83, 1 Sn 3.04
Sn (0.2948, 0.9358, 0.5897)  4 Pt 2.72-2.85
Sn (0.7072, 0.0046, 0.4143)  3 Pt 2.78-2.83, 1 Sn 3.04
Sn (0.8817, 0.7645, 0.7633)  4 Pt 2.80-2.91, 1 Sn 3.13
Sn (0.0463, 0.5980, 0.0925)  4 Pt 2.75-2.81
Sn (0.9537, 0.0980, 0.9075)  4 Pt 2.75-2.81
Sn (0.1183, 0.2645, 0.2367)  4 Pt 2.80-2.91, 1 Sn 3.13
Sn (0.7052, 0.4358, 0.4103)  4 Pt 2.72-2.85

energy relative to the elements	-0.472	eV per atom


The following is a PBE calculation of Cs3Tl2Hg7 after structural relaxation, from Alexandria.

a b c (Å): 6.8500 6.8500 11.3837
angles (deg): 72.49 72.49 60.00
With the nearest neighbours (Å) after each atom.
Atoms (fractional coordinates):
Cs (0.0000, 0.0000, 0.0000)  6 Tl 3.96, 12 Hg 4.38
Cs (0.1403, 0.1403, 0.5790)  12 Hg 3.86-4.04, 3 Cs 4.30
Cs (0.8597, 0.8597, 0.4210)  12 Hg 3.86-4.04, 3 Cs 4.30
Hg (0.4100, 0.4100, 0.2551)  5 Hg 3.31-3.53, 2 Tl 3.32-3.42
Hg (0.5000, 0.5000, 0.5000)  6 Hg 3.31
Hg (0.5900, 0.5900, 0.7449)  5 Hg 3.31-3.53, 2 Tl 3.32-3.42
Hg (0.9249, 0.4100, 0.2551)  5 Hg 3.31-3.53, 2 Tl 3.32-3.42
Hg (0.0751, 0.5900, 0.7449)  5 Hg 3.31-3.53, 2 Tl 3.32-3.42
Hg (0.5900, 0.0751, 0.7449)  5 Hg 3.31-3.53, 2 Tl 3.32-3.42
Hg (0.4100, 0.9249, 0.2551)  5 Hg 3.31-3.53, 2 Tl 3.32-3.42
Tl (0.6633, 0.6633, 0.0100)  6 Hg 3.32-3.42
Tl (0.3367, 0.3367, 0.9900)  6 Hg 3.32-3.42

energy relative to the elements	-0.167	eV per atom